# 1
Hf2HgMo2 | the Alexandria database | PBE | optimized geometry; excess energy over the best structure of this formula in the dataset = 19.4 meV/atom; energy = -7.9304 eV per atom; M_tot = 0.000 μB/atom
1.0
-3.2667 5.2202 4.3769
1.2323 -4.3212 6.0735
3.0788 1.5348 0.4673
Hf Mo Hg
4 4 2
Direct
0.6392 0.1392 0.0000 Hf
0.3608 0.8608 0.0000 Hf
0.8608 0.6392 0.0000 Hf
0.1392 0.3608 0.0000 Hf
0.6596 0.8404 0.5000 Mo
0.3404 0.1596 0.5000 Mo
0.8404 0.3404 0.5000 Mo
0.1596 0.6596 0.5000 Mo
0.0000 0.0000 0.0000 Hg
0.5000 0.5000 0.0000 Hg



# 2
Rb2TlCdBi | the Alexandria database | PBE | optimized geometry; energy = -1.7827 eV per atom; M_tot = 0.000 μB/atom
1.0
-1.5848 6.8816 1.4982
-5.2754 -0.5896 -2.8723
-3.1286 -2.0638 6.1697
Tl Rb Bi Cd
1 2 1 1
Direct
0.0000 0.5000 0.0000 Tl
0.0000 0.0000 0.5000 Rb
0.5000 0.0000 0.0000 Rb
0.0000 0.0000 0.0000 Bi
0.5000 0.5000 0.5000 Cd



# 3
LiSc2Ru2 | the Alexandria database | PBE | optimized geometry; excess energy over the best structure of this formula in the dataset = 95.3 meV/atom; energy = -6.7425 eV per atom; M_tot = 0.000 μB/atom
1.0
7.4235 0.0000 0.0000
0.0000 7.4235 0.0000
0.0000 0.0000 3.1934
Li Sc Ru
2 4 4
Direct
0.0000 0.0000 0.0000 Li
0.5000 0.5000 0.0000 Li
0.3541 0.8541 0.0000 Sc
0.8541 0.6459 0.0000 Sc
0.6459 0.1459 0.0000 Sc
0.1459 0.3541 0.0000 Sc
0.3501 0.1499 0.5000 Ru
0.6499 0.8501 0.5000 Ru
0.8501 0.3501 0.5000 Ru
0.1499 0.6499 0.5000 Ru



# 4
NbGe2Ru | the Alexandria database | PBE | optimized geometry; excess energy over the best structure of this formula in the dataset = 335.0 meV/atom; energy = -7.0036 eV per atom; M_tot = 0.000 μB/atom
1.0
-0.3895 3.6797 1.1967
-3.8190 -0.1720 -0.7140
-3.5691 -1.1791 8.7830
Ru Ge Nb
2 4 2
Direct
0.0000 0.0000 0.0000 Ru
0.7500 0.2500 0.5000 Ru
0.1050 0.6250 0.2500 Ge
0.3750 0.3550 0.7500 Ge
0.8750 0.8950 0.7500 Ge
0.6450 0.1250 0.2500 Ge
0.2500 0.7500 0.5000 Nb
0.5000 0.5000 0.0000 Nb



# 5
KMg3Pt | the Alexandria database | PBE | optimized geometry; excess energy over the best structure of this formula in the dataset = 0.0 meV/atom; energy = -2.7309 eV per atom; M_tot = 0.000 μB/atom
1.0
5.1741 0.0000 0.0000
0.0000 5.1741 0.0000
0.0000 0.0000 5.1741
Mg K Pt
3 1 1
Direct
0.0000 0.0000 0.5000 Mg
0.0000 0.5000 0.0000 Mg
0.5000 0.0000 0.0000 Mg
0.5000 0.5000 0.5000 K
0.0000 0.0000 0.0000 Pt



# 6
Pm3PrTl | the Alexandria database | PBE | optimized geometry; excess energy over the best structure of this formula in the dataset = 0.0 meV/atom; energy = -4.4124 eV per atom; M_tot = 0.000 μB/atom
1.0
4.8253 0.0000 1.1027
0.0000 4.9307 0.0000
-0.4925 0.0000 13.2639
Pm Tl Pr
6 2 2
Direct
0.3752 0.2500 0.8980 Pm
0.0745 0.7500 0.4994 Pm
0.2732 0.7500 0.1020 Pm
0.7723 0.2500 0.1038 Pm
0.8761 0.7500 0.8962 Pm
0.5739 0.2500 0.5006 Pm
0.9776 0.2500 0.6932 Tl
0.6708 0.7500 0.3068 Tl
0.1738 0.2500 0.3007 Pr
0.4745 0.7500 0.6993 Pr



# 7
K2HgP2 | the Alexandria database | PBE | optimized geometry; excess energy over the best structure of this formula in the dataset = 169.2 meV/atom; energy = -2.7415 eV per atom; M_tot = 0.000 μB/atom
1.0
3.5203 0.0000 0.0000
0.0000 3.5203 0.0000
1.7601 1.7601 10.9935
Hg K P
1 2 2
Direct
0.0000 0.0000 0.0000 Hg
0.3760 0.3760 0.2480 K
0.6240 0.6240 0.7520 K
0.7500 0.2500 0.5000 P
0.2500 0.7500 0.5000 P



# 8
BaAcTlO | the Alexandria database | PBE | optimized geometry; energy = -4.8169 eV per atom; M_tot = 0.000 μB/atom; energy relative to the elements, uncorrected = -570 kJ/mol of formula units
1.0
3.9950 0.0000 0.0000
0.0000 4.1722 -0.0074
-1.9975 -2.0718 7.7975
Tl Ac Ba O
1 1 1 1
Direct
0.3273 0.7856 0.6546 Tl
0.9761 0.4345 0.9522 Ac
0.6711 0.1293 0.3421 Ba
0.5604 0.5185 0.1207 O



# 9
SrTl2Cu | the Alexandria database | PBE | optimized geometry; energy = -2.6217 eV per atom; M_tot = 0.000 μB/atom
1.0
4.4826 0.0000 0.0000
0.0000 4.8133 0.0000
0.0000 0.0000 5.1257
Tl Sr Cu
2 1 1
Direct
0.5000 0.5000 0.0000 Tl
0.0000 0.0000 0.0000 Tl
0.0000 0.5000 0.5000 Sr
0.5000 0.0000 0.5000 Cu



# 10
BeSi3 | the Alexandria database | PBE | optimized geometry; excess energy over the best structure of this formula in the dataset = 223.1 meV/atom; energy = -4.4392 eV per atom; M_tot = 0.000 μB/atom; energy relative to the elements, uncorrected = 216 kJ/mol of formula units
1.0
4.6438 0.0533 0.1659
-2.0345 4.1748 0.1659
-2.0345 -3.2968 2.5666
Be Si
1 3
Direct
0.0000 0.0000 0.0000 Be
0.0000 0.5000 0.5000 Si
0.5000 0.0000 0.5000 Si
0.5000 0.5000 0.0000 Si



# 11
Pr3Zr2PaP6 | the Alexandria database | PBE | optimized geometry; energy = -7.5391 eV per atom; M_tot = 0.000 μB/atom
1.0
6.8899 -0.0007 -0.0006
-3.4439 5.9674 -0.0006
-1.1498 -1.9909 6.6113
Zr Pr Pa P
2 3 1 6
Direct
0.6665 0.3335 0.0000 Zr
0.3335 0.6665 0.0000 Zr
0.8344 0.1656 0.5000 Pr
0.1656 0.8344 0.5000 Pr
0.5000 0.5000 0.5000 Pr
0.0000 0.0000 0.0000 Pa
0.7366 0.7366 0.2225 P
0.2634 0.2634 0.7775 P
0.9251 0.5875 0.7746 P
0.4125 0.0749 0.2254 P
0.0749 0.4125 0.2254 P
0.5875 0.9251 0.7746 P



# 12
Hf5MgAl3 | the Alexandria database | PBE | optimized geometry; energy = -7.2106 eV per atom; M_tot = 0.000 μB/atom
1.0
-3.1104 -0.7732 4.8694
-7.0371 1.7151 -4.2227
2.7630 -7.8994 0.5106
Hf Al Mg
10 6 2
Direct
0.2500 0.0000 0.6821 Hf
0.7500 0.3179 0.0000 Hf
0.5000 0.3333 0.6667 Hf
0.5000 0.6667 0.3333 Hf
0.2500 0.6821 0.0000 Hf
0.7500 0.6821 0.6821 Hf
0.0000 0.3333 0.6667 Hf
0.7500 0.0000 0.3179 Hf
0.0000 0.6667 0.3333 Hf
0.2500 0.3179 0.3179 Hf
0.2500 0.6489 0.6490 Al
0.7500 0.6489 0.0000 Al
0.7500 0.3511 0.3510 Al
0.2500 0.3511 0.0000 Al
0.2500 0.0000 0.3510 Al
0.7500 0.0000 0.6490 Al
0.0000 0.0000 0.0000 Mg
0.5000 0.0000 0.0000 Mg



# 13
SrPtRhO6 | the Alexandria database | PBE | optimized geometry; energy = -6.0731 eV per atom; M_tot = 0.312 μB/atom; energy relative to the elements, uncorrected = -949 kJ/mol of formula units
1.0
-0.0146 1.8300 -4.9705
-0.0880 -3.3892 -4.0695
-5.3566 0.0830 0.0464
O Rh Pt Sr
6 1 1 1
Direct
0.9973 0.6286 0.7022 O
0.9974 0.3741 0.2978 O
0.6285 0.3741 0.7022 O
0.6285 0.9974 0.2978 O
0.3740 0.9974 0.7022 O
0.3741 0.6285 0.2978 O
0.6666 0.6667 0.5000 Rh
0.3333 0.3333 0.5000 Pt
0.0000 0.0000 0.0000 Sr



# 14
CuRh2AuN | the Alexandria database | PBE | optimized geometry; energy = -5.8733 eV per atom; M_tot = 0.000 μB/atom; energy relative to the elements, uncorrected = 100 kJ/mol of formula units
1.0
4.0266 0.0000 0.0000
0.0000 4.0266 0.0000
0.0000 0.0000 4.1361
Rh Cu N Au
2 1 1 1
Direct
0.0000 0.5000 0.0000 Rh
0.5000 0.0000 0.0000 Rh
0.0000 0.0000 0.5000 Cu
0.0000 0.0000 0.0000 N
0.5000 0.5000 0.5000 Au



# 15
EuZrPdRh | the Alexandria database | PBE | optimized geometry; energy = -8.3290 eV per atom; M_tot = 1.792 μB/atom
1.0
-1.2088 4.5410 -1.1887
-2.8400 0.8257 -3.8402
-4.5506 1.5427 0.6380
Eu Rh Pd Zr
1 1 1 1
Direct
0.7500 0.7500 0.7500 Eu
0.0000 0.0000 0.0000 Rh
0.5000 0.5000 0.5000 Pd
0.2500 0.2500 0.2500 Zr